La3SnGe: optimized geometry, PBE.

Output
ΔE to the lowest computed polymorph = 1.263 eV/f.u.
final energy = -5.11 eV/atom
energy relative to the elements = -0.431 eV/atom
V = 37.15 A^3/atom

CIF file:
```
data_La3SnGe
_chemical_formula_sum 'La3 Sn1 Ge1'
_cell_length_a 5.706
_cell_length_b 5.706
_cell_length_c 5.706
_cell_angle_alpha 90.00
_cell_angle_beta 90.00
_cell_angle_gamma 90.00
_space_group_name_H-M_alt 'P 1'
_space_group_IT_number 1
_space_group_name_Hall 'P 1'
loop_
_atom_site_label
_atom_site_type_symbol
_atom_site_fract_x
_atom_site_fract_y
_atom_site_fract_z
La1 La 0.000 0.000 0.500
La2 La 0.000 0.500 0.000
La3 La 0.500 0.000 0.000
Sn1 Sn 0.500 0.500 0.500
Ge1 Ge 0.000 0.000 0.000
```